Record 1
## Na2SrThCl8 (PBE)

Data for a relaxed Na2SrThCl8 crystal.

Output
Calculated total energy, eV/atom: -4.31
Raw formation energy, eV/atom: -2.099

a = 6.6977 Å, b = 6.5591 Å, c = 8.7759 Å
α = 89.99°, β = 90.01°, γ = 92.47°
Last column: nearest neighbours and their distance in Å.
Sites, in units of the cell vectors:
Na (0.5000, 0.5000, 0.7333)  6 Cl 2.73-3.02
Na (0.5000, 0.5000, 0.2667)  6 Cl 2.73-3.02
Sr (0.0000, 0.0000, 0.5000)  6 Cl 2.79-3.01
Th (0.0000, 0.0000, 0.0000)  6 Cl 2.68-2.71
Cl (0.1737, 0.7926, 0.2282)  1 Th 2.71, 1 Na 2.99, 1 Sr 3.01
Cl (0.6930, 0.7229, 0.0000)  1 Th 2.68
Cl (0.8262, 0.2074, 0.2281)  1 Th 2.71, 1 Na 2.99, 1 Sr 3.01
Cl (0.8263, 0.2074, 0.7718)  1 Th 2.71, 1 Na 2.99, 1 Sr 3.01
Cl (0.3070, 0.2771, 0.0000)  1 Th 2.68
Cl (0.1738, 0.7926, 0.7719)  1 Th 2.71, 1 Na 2.99, 1 Sr 3.01
Cl (0.6805, 0.7115, 0.5000)  2 Na 2.73, 1 Sr 2.79
Cl (0.3195, 0.2885, 0.5000)  2 Na 2.73, 1 Sr 2.79


Record 2
## Na2SrTiCl8 (PBE)

Data for a relaxed Na2SrTiCl8 crystal.

Output
Calculated total energy, eV/atom: -4.06
Raw formation energy, eV/atom: -1.815

a = 6.5015 Å, b = 6.3444 Å, c = 8.3387 Å
α = 90.00°, β = 89.99°, γ = 91.47°
Last column: nearest neighbours and their distance in Å.
Sites, in units of the cell vectors:
Na (0.5000, 0.4999, 0.7483)  6 Cl 2.70-3.01
Na (0.5000, 0.5001, 0.2517)  6 Cl 2.70-3.01
Sr (0.0000, 0.0000, 0.5000)  6 Cl 2.78-3.00
Ti (0.0000, 0.0000, 0.0000)  6 Cl 2.35-2.38
Cl (0.1582, 0.7953, 0.2020)  1 Ti 2.38
Cl (0.7149, 0.7640, 0.0000)  1 Ti 2.35
Cl (0.8417, 0.2046, 0.2020)  1 Ti 2.38
Cl (0.8418, 0.2047, 0.7980)  1 Ti 2.38
Cl (0.2851, 0.2360, 0.0000)  1 Ti 2.35
Cl (0.1583, 0.7954, 0.7980)  1 Ti 2.38
Cl (0.6673, 0.7168, 0.5001)  2 Na 2.70, 1 Sr 2.78
Cl (0.3327, 0.2832, 0.4999)  2 Na 2.70, 1 Sr 2.78